# PBE NaSr6Li2, optimized geometry
data_NaSr6Li2
_chemical_formula_sum 'Na4 Sr24 Li8'
_symmetry_space_group_name_H-M 'I m m m'
_symmetry_Int_Tables_number 71
_symmetry_space_group_name_Hall '-I 2 2'
_cell_length_a 11.4865
_cell_length_b 11.4941
_cell_length_c 12.4690
_cell_angle_alpha 90.00
_cell_angle_beta 90.00
_cell_angle_gamma 90.00
loop_
_atom_site_label
_atom_site_fract_x
_atom_site_fract_y
_atom_site_fract_z
Na1 0.0000 0.0000 0.0000
Na2 0.0000 0.0000 0.5000
Sr1 0.0000 0.2937 0.1837
Sr2 0.1906 0.2803 0.5000
Sr3 0.2043 0.0000 0.2582
Li1 0.0000 0.5000 0.3856
Li2 0.1340 0.5000 0.0000
# **Calculated formation energy**: 17.2 meV per atom
# **Offset from the most stable computed form**: 0 meV per atom

# PBE Ce2MgPdRh5, optimized geometry
data_Ce2MgPdRh5
_chemical_formula_sum 'Ce8 Mg4 Pd4 Rh20'
_symmetry_space_group_name_H-M 'I 4/m c m'
_symmetry_Int_Tables_number 140
_symmetry_space_group_name_Hall '-I 4 2c'
_cell_length_a 7.9831
_cell_length_b 7.9831
_cell_length_c 10.8714
_cell_angle_alpha 90.00
_cell_angle_beta 90.00
_cell_angle_gamma 90.00
loop_
_atom_site_label
_atom_site_fract_x
_atom_site_fract_y
_atom_site_fract_z
Ce1 0.1377 0.3623 0.0000
Mg1 0.0000 0.0000 0.2500
Pd1 0.0000 0.5000 0.2500
Rh1 0.0000 0.0000 0.0000
Rh2 0.2024 0.2976 0.3631
# **Calculated formation energy**: -234.1 meV per atom